[1]
A plane-wave DFT calculation with GGA-PBE was carried out for crystalline TbTh2Co9 at its relaxed geometry.

## Properties
As for the space-group type: R-3m. The value obtained for the total energy is -7.12 eV/atom. The formation energy is -171 meV per atom. The mass density comes out at 10.72 Mg/m³. Its total magnetic moment is 8.4 μB/cell.

abc: 4.964 4.964 8.847
angles: 73.71 73.71 60.00
Site moments in Bohr magnetons follow the coordinates.
Atoms (fractional coordinates):
Tb: 0.000 0.000 0.000  -0.23
Th: 0.863 0.863 0.411  -0.30
Th: 0.137 0.137 0.589  -0.30
Co: 0.667 0.667 0.999  1.44
Co: 0.333 0.333 0.001  1.44
Co: 0.500 0.500 0.500  0.61
Co: 0.422 0.422 0.237  1.03
Co: 0.919 0.422 0.237  1.03
Co: 0.422 0.919 0.237  1.03
Co: 0.578 0.578 0.763  1.03
Co: 0.578 0.081 0.763  1.03
Co: 0.081 0.578 0.763  1.03

=====

[2]
A plane-wave DFT calculation with GGA-PBE was carried out for crystalline TbTh4Co2 at its relaxed geometry.

## Properties
As for the space-group type: P2_1/m. The value obtained for the total energy is -7.06 eV/atom. The formation energy is -124 meV per atom. The mass density comes out at 10.77 Mg/m³. Its total magnetic moment is 0.0 μB/cell.

abc: 6.803 8.397 7.055
angles: 112.73 90.00 90.00
Atoms (fractional coordinates):
Co: 0.250 0.356 0.986
Co: 0.750 0.644 0.014
Co: 0.750 0.365 0.395
Co: 0.250 0.635 0.605
Tb: 0.250 0.781 0.008
Tb: 0.750 0.219 0.992
Th: 0.499 0.406 0.704
Th: 0.250 0.206 0.236
Th: 0.750 0.794 0.764
Th: 0.001 0.406 0.704
Th: 0.750 0.000 0.340
Th: 0.999 0.594 0.296
Th: 0.501 0.594 0.296
Th: 0.250 0.000 0.660

=====

[3]
A plane-wave DFT calculation with GGA-PBE was carried out for crystalline TbTh2Co2 at its relaxed geometry.

## Properties
As for the space-group type: Immm. The value obtained for the total energy is -6.94 eV/atom. The formation energy is -204 meV per atom. The mass density comes out at 9.87 Mg/m³. The value obtained for the polymorph energy (0 for the lowest one) is 0.0223 eV per atom. Its total magnetic moment is 0.0 μB/cell.

abc: 4.333 5.168 6.511
angles: 113.41 109.44 90.00
Atoms (fractional coordinates):
Tb: 0.000 0.000 0.000
Th: 0.324 0.324 0.647
Th: 0.676 0.676 0.353
Co: 0.651 0.151 0.302
Co: 0.349 0.849 0.698

=====

[4]
A plane-wave DFT calculation with GGA-PBE was carried out for crystalline TbThCo at its relaxed geometry.

## Properties
As for the space-group type: P2_1/c. The value obtained for the total energy is -6.48 eV/atom. The formation energy is -91 meV per atom. The mass density comes out at 9.58 Mg/m³. The value obtained for the polymorph energy (0 for the lowest one) is 0.0296 eV per atom. Its total magnetic moment is 0.0 μB/cell.

abc: 7.252 6.763 7.022
angles: 64.89 90.00 90.00
Atoms (fractional coordinates):
Tb: 0.167 0.715 0.945
Tb: 0.333 0.715 0.445
Tb: 0.833 0.285 0.055
Tb: 0.667 0.285 0.555
Th: 0.666 0.771 0.028
Th: 0.334 0.229 0.972
Th: 0.166 0.229 0.472
Th: 0.834 0.771 0.528
Co: 0.566 0.551 0.796
Co: 0.434 0.449 0.204
Co: 0.934 0.551 0.296
Co: 0.066 0.449 0.704

=====

[5]
A plane-wave DFT calculation with GGA-PBE was carried out for crystalline TbThCo at its relaxed geometry.

## Properties
As for the space-group type: P3m1. The value obtained for the total energy is -6.51 eV/atom. The formation energy is -120 meV per atom. The mass density comes out at 9.35 Mg/m³. The value obtained for the polymorph energy (0 for the lowest one) is 0.0000 eV per atom. Its total magnetic moment is 0.0 μB/cell.

abc: 3.846 3.846 6.237
angles: 90.00 90.00 120.00
Atoms (fractional coordinates):
Co: 0.667 0.333 0.345
Tb: 0.000 0.000 0.081
Th: 0.333 0.667 0.574

=====

[6]
A plane-wave DFT calculation with GGA-PBE was carried out for crystalline TbTh2Co2 at its relaxed geometry.

## Properties
As for the space-group type: P4/mbm. The value obtained for the total energy is -6.96 eV/atom. The formation energy is -226 meV per atom. The mass density comes out at 11.14 Mg/m³. The value obtained for the polymorph energy (0 for the lowest one) is 0.0000 eV per atom. Its total magnetic moment is 0.0 μB/cell.

abc: 3.745 7.679 7.679
angles: 90.00 90.00 90.00
Atoms (fractional coordinates):
Tb: 0.000 0.000 0.000
Tb: 0.000 0.500 0.500
Th: 0.500 0.163 0.663
Th: 0.500 0.663 0.837
Th: 0.500 0.837 0.337
Th: 0.500 0.337 0.163
Co: 0.000 0.371 0.871
Co: 0.000 0.871 0.629
Co: 0.000 0.629 0.129
Co: 0.000 0.129 0.371

=====

[7]
A plane-wave DFT calculation with GGA-PBE was carried out for crystalline TbThCo at its relaxed geometry.

## Properties
As for the space-group type: F-43m. The value obtained for the total energy is -6.38 eV/atom. The formation energy is 2 meV per atom. The mass density comes out at 9.69 Mg/m³. The value obtained for the polymorph energy (0 for the lowest one) is 0.1221 eV per atom. Its total magnetic moment is 0.0 μB/cell.

abc: 4.777 4.777 4.777
angles: 60.00 60.00 60.00
Atoms (fractional coordinates):
Co: 0.250 0.250 0.250
Tb: 0.000 0.000 0.000
Th: 0.500 0.500 0.500

=====

[8]
A plane-wave DFT calculation with GGA-PBE was carried out for crystalline Tb12ThCo6 at its relaxed geometry.

## Properties
As for the space-group type: Im-3. The value obtained for the total energy is -5.67 eV/atom. The formation energy is -108 meV per atom. The mass density comes out at 8.80 Mg/m³. Its total magnetic moment is 0.0 μB/cell.

abc: 8.485 8.485 8.485
angles: 109.47 109.47 109.47
Atoms (fractional coordinates):
Tb: 0.308 0.115 0.807
Tb: 0.308 0.501 0.193
Tb: 0.692 0.499 0.807
Tb: 0.692 0.885 0.193
Tb: 0.115 0.807 0.308
Tb: 0.501 0.193 0.308
Tb: 0.499 0.807 0.692
Tb: 0.885 0.193 0.692
Tb: 0.807 0.308 0.115
Tb: 0.193 0.308 0.501
Tb: 0.807 0.692 0.499
Tb: 0.193 0.692 0.885
Th: 0.000 0.000 0.000
Co: 0.387 0.500 0.887
Co: 0.613 0.500 0.113
Co: 0.500 0.887 0.387
Co: 0.500 0.113 0.613
Co: 0.887 0.387 0.500
Co: 0.113 0.613 0.500

=====

[9]
A plane-wave DFT calculation with GGA-PBE was carried out for crystalline TbThCo at its relaxed geometry.

## Properties
As for the space-group type: R3. The value obtained for the total energy is -6.33 eV/atom. The formation energy is 60 meV per atom. The mass density comes out at 9.87 Mg/m³. The value obtained for the polymorph energy (0 for the lowest one) is 0.1803 eV per atom. Its total magnetic moment is 0.0 μB/cell.

abc: 7.549 7.549 6.338
angles: 53.45 53.45 60.00
Atoms (fractional coordinates):
Th: 0.063 0.063 0.811
Th: 0.354 0.354 0.937
Th: 0.755 0.755 0.734
Co: 0.766 0.429 0.704
Co: 0.101 0.766 0.704
Co: 0.429 0.101 0.704
Tb: 0.575 0.829 0.320
Tb: 0.829 0.276 0.320
Tb: 0.276 0.575 0.320

=====

[10]
A plane-wave DFT calculation with GGA-PBE was carried out for crystalline TbTmThCo at its relaxed geometry.

## Properties
As for the space-group type: P1. The value obtained for the total energy is -5.90 eV/atom. The formation energy is 4 meV per atom. The mass density comes out at 9.40 Mg/m³. Its total magnetic moment is 0.5 μB/cell.

abc: 3.702 3.700 9.208
angles: 89.98 89.97 60.08
Site moments in Bohr magnetons follow the coordinates.
Atoms (fractional coordinates):
Tb: 0.980 0.843 0.645  0.24
Tm: 0.644 0.509 0.952  0.06
Th: 0.643 0.509 0.321  0.03
Co: 0.978 0.843 0.145  0.04

=====

[11]
A plane-wave DFT calculation with GGA-PBE was carried out for crystalline TbThZnCo at its relaxed geometry.

## Properties
As for the space-group type: F-43m. The value obtained for the total energy is -5.25 eV/atom. The formation energy is -145 meV per atom. The mass density comes out at 9.77 Mg/m³. Its total magnetic moment is 0.4 μB/cell.

abc: 4.985 4.985 4.985
angles: 60.00 60.00 60.00
Site moments in Bohr magnetons follow the coordinates.
Atoms (fractional coordinates):
Co: 0.500 0.500 0.500  0.55
Zn: 0.000 0.000 0.000  0.01
Tb: 0.750 0.750 0.750  -0.05
Th: 0.250 0.250 0.250  -0.05

=====

[12]
A plane-wave DFT calculation with GGA-PBE was carried out for crystalline TbTiCo2 at its relaxed geometry.

## Properties
As for the space-group type: P4/mmm. The value obtained for the total energy is -6.79 eV/atom. The formation energy is -101 meV per atom. The mass density comes out at 8.44 Mg/m³. The value obtained for the polymorph energy (0 for the lowest one) is 0.1201 eV per atom. Its total magnetic moment is 1.2 μB/cell.

abc: 3.132 4.517 4.517
angles: 90.00 90.00 90.00
Site moments in Bohr magnetons follow the coordinates.
Atoms (fractional coordinates):
Co: 0.000 0.000 0.500  0.86
Co: 0.000 0.500 0.000  0.86
Tb: 0.500 0.500 0.500  -0.21
Ti: 0.500 0.000 0.000  -0.22